(1)
A plane-wave DFT calculation with PBE was carried out for a relaxed structure of TaHgSeO6.

abc: 5.2707 5.2708 5.0120
angles: 90.00 89.99 60.01
Element x y z (fractional)
Ta 0.3333 0.3333 0.5000
Hg 0.0000 0.0000 0.0000
Se 0.6666 0.6666 0.5000
O 0.9901 0.3827 0.2839
O 0.3827 0.9902 0.7161
O 0.6271 0.3828 0.7160
O 0.9901 0.6272 0.7161
O 0.3828 0.6271 0.2839
O 0.6271 0.9901 0.2839

## Properties
DFT total energy = -6.3001 eV per atom


(2)
A plane-wave DFT calculation with PBE was carried out for a relaxed structure of TbHgSe2O8.

abc: 5.5137 5.5137 8.1889
angles: 93.90 93.90 64.67
Each line ends with the local moment (μB).
Element x y z (fractional)
Tb 0.0000 0.0000 0.0000  0.00
Hg 0.0000 0.0000 0.5000  0.15
Se 0.6597 0.6597 0.2274  0.01
Se 0.3403 0.3403 0.7726  0.01
O 0.6767 0.2148 0.8026  0.01
O 0.7769 0.7769 0.0830  0.00
O 0.7380 0.7380 0.4168  0.03
O 0.2620 0.2620 0.5832  0.03
O 0.2231 0.2231 0.9170  0.00
O 0.2148 0.6767 0.8026  0.01
O 0.7852 0.3233 0.1974  0.01
O 0.3233 0.7852 0.1974  0.01

## Properties
DFT total energy = -5.4761 eV per atom


(3)
A plane-wave DFT calculation with PBE was carried out for a relaxed structure of Hg3Te2SeO10.

abc: 5.5840 8.6889 11.3378
angles: 71.01 90.00 90.00
Element x y z (fractional)
Hg 0.5786 0.6851 0.7014
Hg 0.0786 0.3149 0.2986
Hg 0.5945 0.9828 0.8850
Hg 0.0945 0.0172 0.1150
Hg 0.5762 0.9799 0.3740
Hg 0.0762 0.0201 0.6260
Te 0.1062 0.7102 0.9419
Te 0.6062 0.2898 0.0581
Te 0.5648 0.2747 0.5525
Te 0.0648 0.7253 0.4475
Se 0.5843 0.6396 0.2173
Se 0.0843 0.3604 0.7827
O 0.7669 0.1477 0.4816
O 0.2669 0.8523 0.5184
O 0.2340 0.8846 0.9897
O 0.7340 0.1154 0.0103
O 0.7583 0.7478 0.0989
O 0.2583 0.2522 0.9011
O 0.9126 0.8455 0.8056
O 0.4126 0.1545 0.1944
O 0.4536 0.0913 0.6860
O 0.9536 0.9087 0.3140
O 0.4151 0.7598 0.2748
O 0.9151 0.2402 0.7252
O 0.7603 0.5235 0.3340
O 0.2603 0.4765 0.6660
O 0.4020 0.5185 0.1672
O 0.9020 0.4815 0.8328
O 0.2723 0.2572 0.4681
O 0.7723 0.7428 0.5319
O 0.4044 0.7057 0.8604
O 0.9044 0.2943 0.1396

## Properties
DFT total energy = -4.4408 eV per atom


(4)
A plane-wave DFT calculation with PBE was carried out for a relaxed structure of HgTeSe2O.

abc: 5.3656 5.6909 5.3656
angles: 90.00 90.00 90.00
Element x y z (fractional)
O 0.5000 0.5000 0.5000
Te 0.0000 0.0000 0.0000
Hg 0.0000 0.5000 0.0000
Se 0.0000 0.0000 0.5000
Se 0.5000 0.0000 0.0000

## Properties
DFT total energy = -2.0310 eV per atom


(5)
A plane-wave DFT calculation with PBE was carried out for a relaxed structure of TiHgSeO6.

abc: 5.1054 5.1054 9.9412
angles: 90.00 90.00 120.00
Element x y z (fractional)
Ti 0.6667 0.3333 0.2500
Ti 0.3333 0.6667 0.7500
Hg 0.0000 0.0000 0.0000
Hg 0.0000 0.0000 0.5000
Se 0.3333 0.6667 0.2500
Se 0.6667 0.3333 0.7500
O 0.6105 0.6314 0.1459
O 0.0209 0.3895 0.1459
O 0.3895 0.0209 0.6459
O 0.9791 0.6105 0.8541
O 0.3686 0.3895 0.3541
O 0.0209 0.6314 0.3541
O 0.6314 0.0209 0.8541
O 0.6105 0.9791 0.3541
O 0.9791 0.3686 0.6459
O 0.3686 0.9791 0.1459
O 0.6314 0.6105 0.6459
O 0.3895 0.3686 0.8541

## Properties
DFT total energy = -5.8693 eV per atom


(6)
A plane-wave DFT calculation with PBE was carried out for a relaxed structure of Tl2HgSeO.

abc: 6.1871 5.0903 6.1871
angles: 90.00 90.00 90.00
Element x y z (fractional)
O 0.5000 0.5000 0.5000
Tl 0.0000 0.0000 0.5000
Tl 0.5000 0.0000 0.0000
Hg 0.0000 0.0000 0.0000
Se 0.0000 0.5000 0.0000

## Properties
DFT total energy = -2.1545 eV per atom